An optimized crystal structure of NiTeIO2, computed with PBE with a Hubbard U.

Structure (CIF):
```
data_NiTeIO2
_chemical_formula_sum 'Ni1 Te1 I1 O2'
_symmetry_space_group_name_H-M 'P 4/m m m'
_symmetry_Int_Tables_number 123
_symmetry_space_group_name_Hall '-P 4 2'
_cell_length_a 4.027
_cell_length_b 4.027
_cell_length_c 6.878
_cell_angle_alpha 90.00
_cell_angle_beta 90.00
_cell_angle_gamma 90.00
loop_
_atom_site_label
_atom_site_fract_x
_atom_site_fract_y
_atom_site_fract_z
Ni1 0.000 0.000 0.000
Te1 0.500 0.500 0.500
I1 0.500 0.500 0.000
O1 0.000 0.500 0.500
```

Calculated values
- Offset from the most stable computed form: 0.00 eV per formula unit
- V: 111.5 Å³/f.u.
- Theoretical density: 5.140 g cm⁻³
- Total magnetic moment: 1.0 μB/f.u.